Entry 1:
Density functional theory data (GGA-PBE) for PrPa2S5 after structural relaxation.

Calculated values
- Mass density: 7.204 g cm⁻³
- Space-group type: I4/mcm (140)
- ΔE_f (raw): -1.710 eV/atom
- E: -7.261 eV/atom

Unit cell a=7.394 b=7.394 c=8.292 alpha=116.48 beta=116.48 gamma=90.00
Positions (direct):
1 Pr 0.750 0.750 0.500
2 Pr 0.250 0.250 0.500
3 Pa 0.153 0.347 0.000
4 Pa 0.653 0.153 0.000
5 Pa 0.347 0.847 0.000
6 Pa 0.847 0.653 0.000
7 S 0.513 0.702 0.715
8 S 0.798 0.987 0.285
9 S 0.000 0.000 0.000
10 S 0.500 0.500 0.000
11 S 0.202 0.013 0.715
12 S 0.702 0.202 0.715
13 S 0.013 0.513 0.715
14 S 0.298 0.798 0.285
15 S 0.987 0.487 0.285
16 S 0.487 0.298 0.285

=====

Entry 2:
Density functional theory data (GGA-PBE) for Pr5PaS6 after structural relaxation.

Calculated values
- Mass density: 6.563 g cm⁻³
- Space-group type: C2/m (12)
- ΔE_f (raw): -1.933 eV/atom
- E: -6.779 eV/atom

Unit cell a=7.047 b=7.051 c=7.038 alpha=59.94 beta=80.40 gamma=70.56
Positions (direct):
1 Pr 0.500 0.175 0.650
2 Pr 0.000 0.334 0.332
3 Pr 0.500 0.500 0.000
4 Pr 0.000 0.666 0.668
5 Pr 0.500 0.825 0.350
6 S 0.759 0.080 0.321
7 S 0.241 0.599 0.321
8 S 0.249 0.237 0.000
9 S 0.751 0.763 0.000
10 S 0.759 0.401 0.679
11 S 0.241 0.920 0.679
12 Pa 0.000 0.000 0.000